*P*
Crystalline Tb2Sm6Sc at its relaxed geometry, computed with PBE.

Output
The value obtained for the density of states at the Fermi level is 1.754 states/eV per atom. Its space group is R3m.

abc: 7.728 7.728 7.728
angles: 57.18 57.18 57.18
Sites, in units of the cell vectors:
Tb  0.000  0.000  0.000
Tb  0.173  0.173  0.173
Sm  0.033  0.469  0.469
Sm  0.195  0.681  0.681
Sm  0.469  0.033  0.469
Sm  0.469  0.469  0.033
Sm  0.681  0.195  0.681
Sm  0.681  0.681  0.195
Sc  0.737  0.737  0.737



*Q*
Crystalline Tb2Sm6Sc at its relaxed geometry, computed with PBE.

Output
The value obtained for the density of states at the Fermi level is 1.633 states/eV per atom. Its space group is C2/m.

abc: 6.159 6.159 8.588
angles: 104.03 104.03 71.33
Sites, in units of the cell vectors:
Tb  0.225  0.225  0.461
Tb  0.775  0.775  0.539
Sm  0.205  0.681  0.291
Sm  0.319  0.795  0.709
Sm  0.332  0.332  0.911
Sm  0.668  0.668  0.089
Sm  0.681  0.205  0.291
Sm  0.795  0.319  0.709
Sc  0.000  0.000  0.000



*Q* is the most stable structure; the next one sits 0.175 eV/atom above it.



*P*
Crystalline Tb4Sm2Sc at its relaxed geometry, computed with PBE.

Output
The value obtained for the density of states at the Fermi level is 1.682 states/eV per atom. Its space group is P2_1/m.

abc: 6.055 6.562 11.474
angles: 90.00 104.49 90.00
Sites, in units of the cell vectors:
Tb  0.032  0.250  0.367
Tb  0.151  0.250  0.942
Tb  0.356  0.507  0.214
Tb  0.356  0.993  0.214
Tb  0.644  0.007  0.786
Tb  0.644  0.493  0.786
Tb  0.849  0.750  0.058
Tb  0.968  0.750  0.633
Sm  0.280  0.750  0.923
Sm  0.391  0.750  0.500
Sm  0.609  0.250  0.500
Sm  0.720  0.250  0.077
Sc  0.146  0.250  0.662
Sc  0.854  0.750  0.338



*Q*
Crystalline Tb4Sm2Sc at its relaxed geometry, computed with PBE.

Output
The value obtained for the density of states at the Fermi level is 1.866 states/eV per atom. Its space group is I-42d.

abc: 8.382 8.382 8.382
angles: 109.46 109.46 109.50
Sites, in units of the cell vectors:
Tb  0.137  0.035  0.745
Tb  0.142  0.540  0.755
Tb  0.290  0.392  0.255
Tb  0.460  0.215  0.602
Tb  0.608  0.863  0.898
Tb  0.613  0.858  0.398
Tb  0.785  0.387  0.245
Tb  0.965  0.710  0.102
Sm  0.375  0.014  0.139
Sm  0.764  0.625  0.639
Sm  0.875  0.236  0.861
Sm  0.986  0.125  0.361
Sc  0.250  0.750  0.500
Sc  0.500  0.500  0.000



*P* is the most stable structure; the next one sits 0.154 eV/atom above it.



*P*
Crystalline Tb3Sm4Sc at its relaxed geometry, computed with PBE.

Output
The value obtained for the density of states at the Fermi level is 1.796 states/eV per atom. Its space group is Pmn2_1.

abc: 11.382 7.248 6.253
angles: 90.00 90.00 90.00
Sites, in units of the cell vectors:
Tb  0.000  0.122  0.000
Tb  0.249  0.121  0.330
Tb  0.251  0.879  0.830
Tb  0.500  0.878  0.500
Tb  0.749  0.879  0.830
Tb  0.751  0.121  0.330
Sm  0.000  0.371  0.506
Sm  0.000  0.628  0.992
Sm  0.244  0.630  0.337
Sm  0.256  0.370  0.837
Sm  0.500  0.372  0.492
Sm  0.500  0.629  0.006
Sm  0.744  0.370  0.837
Sm  0.756  0.630  0.337
Sc  0.000  0.880  0.498
Sc  0.500  0.120  0.998



*Q*
Crystalline Tb3Sm4Sc at its relaxed geometry, computed with PBE.

Output
The value obtained for the density of states at the Fermi level is 1.626 states/eV per atom. Its space group is I4/mcm.

abc: 9.047 9.047 9.047
angles: 122.18 122.18 86.27
Sites, in units of the cell vectors:
Tb  0.150  0.650  0.800
Tb  0.250  0.250  0.000
Tb  0.350  0.150  0.500
Tb  0.650  0.850  0.500
Tb  0.750  0.750  0.000
Tb  0.850  0.350  0.200
Sm  0.012  0.813  0.500
Sm  0.187  0.687  0.200
Sm  0.313  0.512  0.500
Sm  0.488  0.988  0.800
Sm  0.512  0.012  0.200
Sm  0.687  0.488  0.500
Sm  0.813  0.313  0.800
Sm  0.988  0.187  0.500
Sc  0.000  0.000  0.000
Sc  0.500  0.500  0.000



*P* is the most stable structure; the next one sits 0.057 eV/atom above it.



*P*
Crystalline Tb4SmSc3 at its relaxed geometry, computed with PBE.

Output
The value obtained for the density of states at the Fermi level is 1.787 states/eV per atom. Its space group is Pmn2_1.

abc: 10.982 7.067 6.085
angles: 90.00 90.00 90.00
Sites, in units of the cell vectors:
Tb  0.000  0.131  0.000
Tb  0.000  0.867  0.491
Tb  0.245  0.868  0.839
Tb  0.255  0.132  0.339
Tb  0.500  0.133  0.991
Tb  0.500  0.869  0.500
Tb  0.745  0.132  0.339
Tb  0.755  0.868  0.839
Sm  0.000  0.382  0.504
Sm  0.500  0.618  0.004
Sc  0.000  0.620  0.005
Sc  0.249  0.382  0.833
Sc  0.251  0.618  0.333
Sc  0.500  0.380  0.505
Sc  0.749  0.618  0.333
Sc  0.751  0.382  0.833



*Q*
Crystalline Tb4SmSc3 at its relaxed geometry, computed with PBE.

Output
The value obtained for the density of states at the Fermi level is 2.108 states/eV per atom. Its space group is C2/m.

abc: 13.037 11.210 3.337
angles: 90.00 104.74 90.00
Sites, in units of the cell vectors:
Tb  0.133  0.246  0.134
Tb  0.133  0.754  0.134
Tb  0.367  0.254  0.866
Tb  0.367  0.746  0.866
Tb  0.633  0.254  0.134
Tb  0.633  0.746  0.134
Tb  0.867  0.246  0.866
Tb  0.867  0.754  0.866
Sm  0.000  0.500  0.000
Sm  0.500  0.000  0.000
Sc  0.000  0.000  0.500
Sc  0.241  0.500  0.740
Sc  0.259  0.000  0.260
Sc  0.500  0.500  0.500
Sc  0.741  0.000  0.740
Sc  0.759  0.500  0.260



*P* is the most stable structure; the next one sits 0.144 eV/atom above it.



*P*
Crystalline Tb2Sm2Sc at its relaxed geometry, computed with PBE.

Output
The value obtained for the density of states at the Fermi level is 1.462 states/eV per atom. Its space group is P2/m.

abc: 6.484 5.545 9.083
angles: 90.00 90.02 90.00
Sites, in units of the cell vectors:
Tb  0.076  0.000  0.166
Tb  0.424  0.000  0.666
Tb  0.576  0.000  0.334
Tb  0.924  0.000  0.834
Sm  0.246  0.500  0.400
Sm  0.254  0.500  0.900
Sm  0.746  0.500  0.100
Sm  0.754  0.500  0.600
Sc  0.000  0.000  0.500
Sc  0.500  0.000  0.000



*Q*
Crystalline Tb2Sm2Sc at its relaxed geometry, computed with PBE.

Output
The value obtained for the density of states at the Fermi level is 1.447 states/eV per atom. Its space group is Imma.

abc: 16.167 16.167 16.167
angles: 167.46 159.89 23.77
Sites, in units of the cell vectors:
Tb  0.270  0.020  0.250
Tb  0.366  0.116  0.250
Tb  0.634  0.884  0.750
Tb  0.730  0.980  0.750
Sm  0.062  0.812  0.250
Sm  0.456  0.706  0.750
Sm  0.544  0.294  0.250
Sm  0.938  0.188  0.750
Sc  0.175  0.425  0.750
Sc  0.825  0.575  0.250



*Q* is the most stable structure; the next one sits 0.038 eV/atom above it.



*P*
Crystalline Tb8Sm6Sc at its relaxed geometry, computed with PBE.

Output
The value obtained for the density of states at the Fermi level is 1.453 states/eV per atom. Its space group is R-3.

abc: 8.648 8.648 8.648
angles: 63.36 63.36 63.36
Sites, in units of the cell vectors:
Tb  0.077  0.077  0.077
Tb  0.221  0.249  0.611
Tb  0.249  0.611  0.221
Tb  0.389  0.779  0.751
Tb  0.611  0.221  0.249
Tb  0.751  0.389  0.779
Tb  0.779  0.751  0.389
Tb  0.923  0.923  0.923
Sm  0.042  0.729  0.604
Sm  0.271  0.396  0.958
Sm  0.396  0.958  0.271
Sm  0.604  0.042  0.729
Sm  0.729  0.604  0.042
Sm  0.958  0.271  0.396
Sc  0.500  0.500  0.500



*Q*
Crystalline Tb8Sm6Sc at its relaxed geometry, computed with PBE.

Output
The value obtained for the density of states at the Fermi level is 1.409 states/eV per atom. Its space group is R-3.

abc: 8.168 8.168 8.168
angles: 73.00 73.00 73.00
Sites, in units of the cell vectors:
Tb  0.086  0.086  0.086
Tb  0.148  0.270  0.573
Tb  0.270  0.573  0.148
Tb  0.427  0.852  0.730
Tb  0.573  0.148  0.270
Tb  0.730  0.427  0.852
Tb  0.852  0.730  0.427
Tb  0.914  0.914  0.914
Sm  0.113  0.575  0.781
Sm  0.219  0.887  0.425
Sm  0.425  0.219  0.887
Sm  0.575  0.781  0.113
Sm  0.781  0.113  0.575
Sm  0.887  0.425  0.219
Sc  0.500  0.500  0.500



*P* is the most stable structure; the next one sits 0.072 eV/atom above it.